The following is a DFT calculation (PBE) of a relaxed Na2TcAu crystal.

Calculated values
- Symmetry: Fm-3m (225)
- DOS at the Fermi energy: 2.8 states/eV/cell
- DFT total energy: -12.956 eV for the cell shown

Structure (POSCAR):
```
Na2TcAu
1.0
0.000 3.434 3.434
3.434 0.000 3.434
3.434 3.434 0.000
Na Au Tc
2 1 1
Cartesian
1.717 1.717 1.717 Na
5.150 5.150 5.150 Na
3.434 3.434 3.434 Au
0.000 0.000 0.000 Tc
```